Record 1
DFT (PBE) results for crystalline Tl2MoOs2 at its relaxed geometry.

## Properties
DFT formation energy ... 1.3840 eV/atom
E ... -6.221 eV/atom
V ... 186 Å³ per cell

a = 7.855 Å, b = 7.855 Å, c = 3.008 Å
α = 90.00°, β = 90.00°, γ = 90.00°
Space group P4/mbm (No. 127)
One atom of each set of equivalent atoms:
Tl1 0.135 0.365 0.000 [4 per cell]
Mo1 0.000 0.000 0.000 [2 per cell]
Os1 0.167 0.667 0.500 [4 per cell]

Record 2
DFT (PBE) results for crystalline TlMoOs2 at its relaxed geometry.

## Properties
DFT formation energy ... 0.6343 eV/atom
E ... -8.280 eV/atom
V ... 67 Å³ per cell

a = 2.869 Å, b = 3.883 Å, c = 6.035 Å
α = 90.00°, β = 90.00°, γ = 90.00°
Space group Pmmm (No. 47)
One atom of each set of equivalent atoms:
Tl1 0.000 0.000 0.000 [1 per cell]
Mo1 0.000 0.000 0.500 [1 per cell]
Os1 0.500 0.500 0.284 [2 per cell]

Record 3
DFT (PBE) results for crystalline TlMoOs2 at its relaxed geometry.

## Properties
DFT formation energy ... 0.6973 eV/atom
E ... -8.217 eV/atom
V ... 134 Å³ per cell

a = 9.412 Å, b = 2.908 Å, c = 4.987 Å
α = 90.00°, β = 100.75°, γ = 90.00°
Space group Cm (No. 8)
One atom of each set of equivalent atoms:
Tl1 0.000 0.000 0.000 [2 per cell]
Mo1 0.267 0.500 0.311 [2 per cell]
Os1 0.011 0.500 0.496 [2 per cell]
Os2 0.240 0.000 0.740 [2 per cell]

Record 4
DFT (PBE) results for crystalline Tl3MoOs at its relaxed geometry.

## Properties
DFT formation energy ... 1.8392 eV/atom
E ... -3.993 eV/atom
V ... 154 Å³ per cell

a = 5.361 Å, b = 5.361 Å, c = 5.361 Å
α = 90.00°, β = 90.00°, γ = 90.00°
Space group Pm-3m (No. 221)
One atom of each set of equivalent atoms:
Tl1 0.000 0.000 0.500 [3 per cell]
Mo1 0.000 0.000 0.000 [1 per cell]
Os1 0.500 0.500 0.500 [1 per cell]

Record 5
DFT (PBE) results for crystalline TlMoOs at its relaxed geometry.

## Properties
DFT formation energy ... 0.8204 eV/atom
E ... -7.322 eV/atom
V ... 241 Å³ per cell

a = 6.227 Å, b = 6.227 Å, c = 6.227 Å
α = 90.00°, β = 90.00°, γ = 90.00°
Space group F-43m (No. 216)
One atom of each set of equivalent atoms:
Tl1 0.000 0.000 0.000 [4 per cell]
Mo1 0.000 0.000 0.500 [4 per cell]
Os1 0.250 0.250 0.750 [4 per cell]

Record 6
DFT (PBE) results for crystalline TlMo3Os at its relaxed geometry.

## Properties
DFT formation energy ... 1.5252 eV/atom
E ... -7.693 eV/atom
V ... 109 Å³ per cell

a = 4.783 Å, b = 4.783 Å, c = 4.783 Å
α = 90.00°, β = 90.00°, γ = 90.00°
Space group Pm-3m (No. 221)
One atom of each set of equivalent atoms:
Tl1 0.000 0.000 0.000 [1 per cell]
Mo1 0.000 0.500 0.500 [3 per cell]
Os1 0.500 0.500 0.500 [1 per cell]

Record 7
DFT (PBE) results for crystalline TlMoOs2 at its relaxed geometry.

## Properties
DFT formation energy ... 0.6792 eV/atom
E ... -8.235 eV/atom
V ... 67 Å³ per cell

a = 2.860 Å, b = 4.012 Å, c = 5.883 Å
α = 90.00°, β = 90.01°, γ = 90.00°
Space group Pm (No. 6)
One atom of each set of equivalent atoms:
Tl1 0.000 0.000 0.000 [1 per cell]
Mo1 0.496 0.500 0.302 [1 per cell]
Os1 0.004 0.000 0.499 [1 per cell]
Os2 0.503 0.500 0.725 [1 per cell]

Record 8
DFT (PBE) results for crystalline TlMoOs at its relaxed geometry.

## Properties
DFT formation energy ... 0.5912 eV/atom
E ... -7.551 eV/atom
V ... 53 Å³ per cell

a = 2.9399 Å, b = 2.9399 Å, c = 7.0956 Å
α = 90.00°, β = 90.00°, γ = 120.00°
Space group P3m1 (No. 156)
One atom of each set of equivalent atoms:
Tl1 0.0000 0.0000 0.0000 [1 per cell]
Mo1 0.6667 0.3333 0.3607 [1 per cell]
Os1 0.3333 0.6667 0.6431 [1 per cell]

Record 9
DFT (PBE) results for crystalline UMo2Os at its relaxed geometry.

## Properties
DFT formation energy ... 0.5279 eV/atom
E ... -10.517 eV/atom
V ... 205 Å³ per cell

a = 2.8141 Å, b = 2.8141 Å, c = 29.8784 Å
α = 90.00°, β = 90.00°, γ = 120.00°
Space group R-3m (No. 166, hexagonal axes)
One atom of each set of equivalent atoms:
U1 0.0000 0.0000 0.0000 [3 per cell]
Mo1 0.0000 0.0000 0.0930 [6 per cell]
Os1 0.0000 0.0000 0.5000 [3 per cell]

Record 10
DFT (PBE) results for crystalline UVMoOs at its relaxed geometry.

## Properties
DFT formation energy ... 0.1954 eV/atom
E ... -10.422 eV/atom
V ... 262 Å³ per cell

a = 6.398 Å, b = 6.398 Å, c = 6.398 Å
α = 90.00°, β = 90.00°, γ = 90.00°
Space group F-43m (No. 216)
One atom of each set of equivalent atoms:
U1 0.000 0.000 0.000 [4 per cell]
V1 0.250 0.250 0.250 [4 per cell]
Mo1 0.250 0.250 0.750 [4 per cell]
Os1 0.000 0.000 0.500 [4 per cell]

Record 11
DFT (PBE) results for crystalline V4MoOs at its relaxed geometry.

## Properties
DFT formation energy ... 0.0145 eV/atom
E ... -9.741 eV/atom
V ... 333 Å³ per cell

a = 6.932 Å, b = 6.932 Å, c = 6.932 Å
α = 90.00°, β = 90.00°, γ = 90.00°
Space group F-43m (No. 216)
One atom of each set of equivalent atoms:
V1 0.125 0.125 0.125 [16 per cell]
Mo1 0.000 0.000 0.500 [4 per cell]
Os1 0.250 0.250 0.750 [4 per cell]

Record 12
DFT (PBE) results for crystalline V6MoOs5 at its relaxed geometry.

## Properties
DFT formation energy ... -0.2706 eV/atom
E ... -10.412 eV/atom
V ... 333 Å³ per cell

a = 4.284 Å, b = 12.865 Å, c = 6.046 Å
α = 90.00°, β = 90.00°, γ = 90.00°
Space group Cmmm (No. 65)
One atom of each set of equivalent atoms:
V1 0.000 0.000 0.247 [4 per cell]
V2 0.000 0.335 0.248 [8 per cell]
Mo1 0.000 0.500 0.000 [2 per cell]
Os1 0.000 0.168 0.000 [4 per cell]
Os2 0.000 0.168 0.500 [4 per cell]
Os3 0.000 0.500 0.500 [2 per cell]